[1]
This record from the Alexandria database describes a crystal of MgSbW2 relaxed with PBEsol. The functional is SCAN.

Computed properties:
formation energy without anion corrections: 0.61 eV/atom
energy relative to the lowest polymorph listed for this composition: 0.440 eV/f.u.

Unit cell a=3.935 b=3.935 c=4.436 alpha=90.00 beta=90.00 gamma=90.00
Atoms (fractional coordinates):
Mg1 0.000 0.000 0.000
Sb1 0.500 0.500 0.000
W1 0.000 0.500 0.500
W2 0.500 0.000 0.500



[2]
This record from the Alexandria database describes a crystal of YMgSb2 relaxed with PBEsol. The functional is SCAN.

Computed properties:
formation energy without anion corrections: -0.18 eV/atom

Unit cell a=7.425 b=7.425 c=7.425 alpha=90.00 beta=90.00 gamma=90.00
Atoms (fractional coordinates):
Y1 0.000 0.000 0.000
Y2 0.000 0.500 0.500
Y3 0.500 0.000 0.500
Y4 0.500 0.500 0.000
Mg1 0.250 0.250 0.250
Mg2 0.250 0.750 0.750
Mg3 0.750 0.250 0.750
Mg4 0.750 0.750 0.250
Sb1 0.000 0.000 0.500
Sb2 0.000 0.500 0.000
Sb3 0.250 0.250 0.750
Sb4 0.250 0.750 0.250
Sb5 0.500 0.000 0.000
Sb6 0.500 0.500 0.500
Sb7 0.750 0.250 0.250
Sb8 0.750 0.750 0.750



[3]
This record from the Alexandria database describes a crystal of YMgSb relaxed with PBEsol. The functional is SCAN.

Computed properties:
formation energy without anion corrections: -0.45 eV/atom

Unit cell a=3.402 b=4.045 c=10.851 alpha=90.00 beta=90.00 gamma=90.00
Atoms (fractional coordinates):
Y1 0.000 0.000 0.000
Y2 0.500 0.500 0.500
Mg1 0.000 0.000 0.312
Mg2 0.500 0.500 0.812
Sb1 0.000 0.000 0.671
Sb2 0.500 0.500 0.171



[4]
This record from the Alexandria database describes a crystal of YMg2Sb relaxed with PBEsol. The functional is SCAN.

Computed properties:
formation energy without anion corrections: -0.02 eV/atom

Unit cell a=3.353 b=3.353 c=31.447 alpha=90.00 beta=90.00 gamma=120.00
Atoms (fractional coordinates):
Y1 0.000 0.000 0.000
Y2 0.333 0.667 0.667
Y3 0.667 0.333 0.333
Mg1 0.000 0.000 0.245
Mg2 0.000 0.000 0.755
Mg3 0.333 0.667 0.422
Mg4 0.333 0.667 0.912
Mg5 0.667 0.333 0.088
Mg6 0.667 0.333 0.578
Sb1 0.000 0.000 0.500
Sb2 0.333 0.667 0.167
Sb3 0.667 0.333 0.833



[5]
This record from the Alexandria database describes a crystal of YMg2Sb2 relaxed with PBEsol. The functional is SCAN.

Computed properties:
formation energy without anion corrections: -0.49 eV/atom

Unit cell a=4.179 b=4.179 c=14.303 alpha=90.00 beta=90.00 gamma=90.00
Atoms (fractional coordinates):
Y1 0.000 0.000 0.000
Y2 0.500 0.500 0.500
Mg1 0.000 0.500 0.250
Mg2 0.000 0.500 0.750
Mg3 0.500 0.000 0.250
Mg4 0.500 0.000 0.750
Sb1 0.000 0.000 0.390
Sb2 0.000 0.000 0.610
Sb3 0.500 0.500 0.110
Sb4 0.500 0.500 0.890



[6]
This record from the Alexandria database describes a crystal of YMgSb2 relaxed with PBEsol. The functional is SCAN.

Computed properties:
formation energy without anion corrections: -0.60 eV/atom

Unit cell a=3.922 b=3.922 c=6.472 alpha=90.00 beta=90.00 gamma=90.00
Atoms (fractional coordinates):
Y1 0.000 0.000 0.000
Mg1 0.000 0.000 0.500
Sb1 0.500 0.500 0.247
Sb2 0.500 0.500 0.753



[7]
This record from the Alexandria database describes a crystal of YMg2Sb relaxed with PBEsol. The functional is SCAN.

Computed properties:
formation energy without anion corrections: -0.39 eV/atom

Unit cell a=3.947 b=3.947 c=6.396 alpha=90.00 beta=90.00 gamma=90.00
Atoms (fractional coordinates):
Y1 0.000 0.000 0.000
Mg1 0.000 0.000 0.511
Mg2 0.500 0.500 0.293
Sb1 0.500 0.500 0.784



[8]
This record from the Alexandria database describes a crystal of YMgSb2 relaxed with PBEsol. The functional is SCAN.

Computed properties:
formation energy without anion corrections: -0.64 eV/atom

Unit cell a=7.434 b=4.308 c=7.295 alpha=90.00 beta=110.08 gamma=90.00
Atoms (fractional coordinates):
Y1 0.000 0.000 0.000
Y2 0.500 0.500 0.000
Mg1 0.000 0.500 0.500
Mg2 0.500 0.000 0.500
Sb1 0.246 0.000 0.740
Sb2 0.254 0.500 0.260
Sb3 0.746 0.500 0.740
Sb4 0.754 0.000 0.260



[9]
This record from the Alexandria database describes a crystal of Mg2ZnSb2 relaxed with PBEsol. The functional is SCAN.

Computed properties:
formation energy without anion corrections: -0.02 eV/atom
energy relative to the lowest polymorph listed for this composition: 1.267 eV/f.u.

Unit cell a=5.072 b=5.072 c=10.733 alpha=90.00 beta=90.00 gamma=90.00
Atoms (fractional coordinates):
Mg1 0.000 0.500 0.250
Mg2 0.000 0.500 0.750
Mg3 0.500 0.000 0.250
Mg4 0.500 0.000 0.750
Zn1 0.000 0.000 0.000
Zn2 0.500 0.500 0.500
Sb1 0.000 0.000 0.372
Sb2 0.000 0.000 0.628
Sb3 0.500 0.500 0.128
Sb4 0.500 0.500 0.872



[10]
This record from the Alexandria database describes a crystal of Mg2ZnSb2 relaxed with PBEsol. The functional is SCAN.

Computed properties:
formation energy without anion corrections: -0.27 eV/atom
energy relative to the lowest polymorph listed for this composition: 0.000 eV/f.u.

Unit cell a=4.417 b=4.417 c=7.209 alpha=90.00 beta=90.00 gamma=120.00
Atoms (fractional coordinates):
Mg1 0.000 0.000 0.000
Mg2 0.333 0.667 0.629
Zn1 0.667 0.333 0.386
Sb1 0.333 0.667 0.240
Sb2 0.667 0.333 0.784



[11]
This record from the Alexandria database describes a crystal of MgZnSb2 relaxed with PBEsol. The functional is SCAN.

Computed properties:
formation energy without anion corrections: 0.04 eV/atom
energy relative to the lowest polymorph listed for this composition: 0.000 eV/f.u.

Unit cell a=4.086 b=5.158 c=8.563 alpha=90.00 beta=90.00 gamma=90.00
Atoms (fractional coordinates):
Mg1 0.000 0.000 0.000
Mg2 0.500 0.500 0.500
Zn1 0.000 0.000 0.500
Zn2 0.500 0.500 0.000
Sb1 0.000 0.500 0.232
Sb2 0.000 0.500 0.768
Sb3 0.500 0.000 0.268
Sb4 0.500 0.000 0.732



[12]
This record from the Alexandria database describes a crystal of Mg3ZnSb relaxed with PBEsol. The functional is SCAN.

Computed properties:
formation energy without anion corrections: 0.11 eV/atom

Unit cell a=4.936 b=4.936 c=4.936 alpha=90.00 beta=90.00 gamma=90.00
Atoms (fractional coordinates):
Mg1 0.000 0.000 0.500
Mg2 0.000 0.500 0.000
Mg3 0.500 0.000 0.000
Zn1 0.000 0.000 0.000
Sb1 0.500 0.500 0.500